Below is crystalline BeInFe2 at its relaxed geometry, with properties calculated at the PBE-GGA level.

Calculated values
* formation energy from the elements: 345 meV/atom
* E above lowest polymorph: 0.194 eV/atom
* magnetization: 3.82 μB/f.u.

abc: 5.9357 5.9357 5.9357
angles: 90.00 90.00 90.00
Space group Fm-3m (No. 225)
One atom of each set of equivalent atoms:
Be 0.0000 0.0000 0.0000 x4
In 0.0000 0.0000 0.5000 x4
Fe 0.2500 0.2500 0.2500 x8